1.
# Cs2TaReSi (GGA-PBEsol, relaxed)
data_Cs2TaReSi
_cell_length_a 5.914
_cell_length_b 5.914
_cell_length_c 4.850
_cell_angle_alpha 90.00
_cell_angle_beta 90.00
_cell_angle_gamma 90.00
_space_group_name_H-M_alt 'P 4/m m m'
_space_group_IT_number 123
_space_group_name_Hall '-P 4 2'
loop_
_atom_site_label
_atom_site_type_symbol
_atom_site_fract_x
_atom_site_fract_y
_atom_site_fract_z
Cs1 Cs 0.000 0.500 0.000
Ta1 Ta 0.000 0.000 0.500
Re1 Re 0.000 0.000 0.000
Si1 Si 0.500 0.500 0.500
# energy relative to the elements, uncorrected	2.04	eV/atom
# Fermi-level density of states	1.0994	states/eV per atom
# calculated total energy	-0.17154	hartree per atom

---

2.
# PmTmZn2 (GGA-PBEsol, relaxed)
data_PmTmZn2
_cell_length_a 7.048
_cell_length_b 7.048
_cell_length_c 7.048
_cell_angle_alpha 90.00
_cell_angle_beta 90.00
_cell_angle_gamma 90.00
_space_group_name_H-M_alt 'F m -3 m'
_space_group_IT_number 225
_space_group_name_Hall '-F 4 2 3'
loop_
_atom_site_label
_atom_site_type_symbol
_atom_site_fract_x
_atom_site_fract_y
_atom_site_fract_z
Pm1 Pm 0.000 0.000 0.000
Tm1 Tm 0.000 0.000 0.500
Zn1 Zn 0.250 0.250 0.250
# Fermi-level density of states	1.0894	states/eV per atom
# calculated total energy	-0.13311	hartree per atom

---

So what do the calculations give for magnetic moment? Going down the list: 0.23 0.00 μB/atom.